*A*
## Mg3CdB (GGA-PBE)

Data for a relaxed structure of Mg3CdB.

Results
total magnetization = 0.00 μB per cell
symmetry = Pm-3m, No. 221

a = 5.158 Å, b = 5.158 Å, c = 5.158 Å
α = 90.00°, β = 90.00°, γ = 90.00°
Atoms (fractional coordinates):
Mg 0.000 0.500 0.000
Mg 0.000 0.000 0.500
Mg 0.500 0.000 0.000
B 0.500 0.500 0.500
Cd 0.000 0.000 0.000

***

*B*
## Mg3CdB (GGA-PBE)

Data for a relaxed structure of Mg3CdB.

Results
total magnetization = 0.00 μB per cell
symmetry = Pm-3m, No. 221

a = 4.616 Å, b = 4.616 Å, c = 4.616 Å
α = 90.00°, β = 90.00°, γ = 90.00°
Atoms (fractional coordinates):
Mg 0.000 0.500 0.000
Mg 0.000 0.000 0.500
Mg 0.500 0.000 0.000
B 0.000 0.000 0.000
Cd 0.500 0.500 0.500

***

It is *A* that is the least stable of them.

***

*A*
## MgCdB3 (GGA-PBE)

Data for a relaxed structure of MgCdB3.

Results
total magnetization = 0.00 μB per cell
symmetry = Pm-3m, No. 221

a = 4.372 Å, b = 4.372 Å, c = 4.372 Å
α = 90.00°, β = 90.00°, γ = 90.00°
Atoms (fractional coordinates):
Mg 0.000 0.000 0.000
B 0.000 0.500 0.000
B 0.000 0.000 0.500
B 0.500 0.000 0.000
Cd 0.500 0.500 0.500

***

*B*
## MgCdB3 (GGA-PBE)

Data for a relaxed structure of MgCdB3.

Results
total magnetization = 0.00 μB per cell
symmetry = Pm-3m, No. 221

a = 4.416 Å, b = 4.416 Å, c = 4.416 Å
α = 90.00°, β = 90.00°, γ = 90.00°
Atoms (fractional coordinates):
Mg 0.500 0.500 0.500
B 0.000 0.500 0.000
B 0.000 0.000 0.500
B 0.500 0.000 0.000
Cd 0.000 0.000 0.000

***

It is *A* that is the least stable of them.

***

*A*
## Mg6CdB (GGA-PBE)

Data for a relaxed structure of Mg6CdB.

Results
total magnetization = 0.00 μB per cell
symmetry = Amm2, No. 38

a = 6.710 Å, b = 6.710 Å, c = 4.589 Å
α = 90.00°, β = 90.00°, γ = 126.85°
Atoms (fractional coordinates):
Mg 0.171 0.372 0.000
Mg 0.628 0.829 0.000
Mg 0.668 0.332 0.000
Mg 0.318 0.181 0.500
Mg 0.819 0.682 0.500
Mg 0.823 0.177 0.500
Cd 0.165 0.835 0.000
B 0.409 0.591 0.500

***

*B*
## Mg6CdB (GGA-PBE)

Data for a relaxed structure of Mg6CdB.

Results
total magnetization = 0.00 μB per cell
symmetry = Amm2, No. 38

a = 6.628 Å, b = 6.628 Å, c = 3.738 Å
α = 90.00°, β = 90.00°, γ = 96.53°
Atoms (fractional coordinates):
Mg 0.891 0.600 0.000
Mg 0.400 0.109 0.000
Mg 0.714 0.943 0.500
Mg 0.057 0.286 0.500
Mg 0.163 0.837 0.500
Mg 0.614 0.386 0.500
Cd 0.385 0.615 0.000
B 0.775 0.225 0.000

***

It is *A* that is the least stable of them.

***

*A*
## MnCdB (GGA-PBE)

Data for a relaxed structure of MnCdB.

Results
total magnetization = 0.00 μB per cell
symmetry = Pmmn, No. 59

a = 2.884 Å, b = 7.531 Å, c = 3.838 Å
α = 90.00°, β = 90.00°, γ = 90.00°
Atoms (fractional coordinates):
B 0.000 0.632 0.000
B 0.500 0.368 0.500
Mn 0.000 0.557 0.500
Mn 0.500 0.443 0.000
Cd 0.000 0.134 0.000
Cd 0.500 0.866 0.500

***

*B*
## MnCdB (GGA-PBE)

Data for a relaxed structure of MnCdB.

Results
total magnetization = 7.23 μB per cell
symmetry = C2/m, No. 12

a = 8.342 Å, b = 2.918 Å, c = 7.195 Å
α = 90.00°, β = 102.50°, γ = 90.00°
Site moments in Bohr magnetons follow the coordinates.
Atoms (fractional coordinates):
B 0.583 0.000 0.095  -0.11
B 0.417 0.000 0.905  -0.11
B 0.583 0.500 0.595  -0.11
B 0.417 0.500 0.405  -0.11
Mn 0.405 0.000 0.616  1.86
Mn 0.595 0.000 0.384  1.86
Mn 0.405 0.500 0.116  1.86
Mn 0.595 0.500 0.884  1.86
Cd 0.150 0.000 0.226  0.00
Cd 0.850 0.000 0.774  0.00
Cd 0.150 0.500 0.726  0.00
Cd 0.850 0.500 0.274  0.00

***

*C*
## MnCdB (GGA-PBE)

Data for a relaxed structure of MnCdB.

Results
total magnetization = 2.06 μB per cell
symmetry = Amm2, No. 38

a = 2.813 Å, b = 2.896 Å, c = 9.473 Å
α = 90.00°, β = 90.00°, γ = 90.00°
Site moments in Bohr magnetons follow the coordinates.
Atoms (fractional coordinates):
B 0.000 0.000 0.715  -0.10
B 0.000 0.500 0.215  -0.10
Mn 0.500 0.000 0.188  1.21
Mn 0.500 0.500 0.688  1.21
Cd 0.000 0.000 0.454  -0.04
Cd 0.000 0.500 0.954  -0.04

***

It is *A* that is the least stable of them.

***

*A*
## SrMnCdB2 (GGA-PBE)

Data for a relaxed structure of SrMnCdB2.

Results
total magnetization = 0.15 μB per cell
symmetry = P4/mmm, No. 123

a = 4.842 Å, b = 4.839 Å, c = 4.842 Å
α = 90.00°, β = 90.00°, γ = 90.00°
Site moments in Bohr magnetons follow the coordinates.
Atoms (fractional coordinates):
Sr 0.000 0.000 0.000  -0.01
B 0.000 0.000 0.500  0.01
B 0.500 0.000 0.000  -0.01
Mn 0.000 0.500 0.000  0.24
Cd 0.500 0.500 0.500  -0.02

***

*B*
## SrMnCdB2 (GGA-PBE)

Data for a relaxed structure of SrMnCdB2.

Results
total magnetization = 3.87 μB per cell
symmetry = P4/mmm, No. 123

a = 4.528 Å, b = 5.006 Å, c = 4.528 Å
α = 90.00°, β = 90.00°, γ = 90.00°
Site moments in Bohr magnetons follow the coordinates.
Atoms (fractional coordinates):
Sr 0.500 0.500 0.500  -0.02
B 0.000 0.000 0.500  -0.01
B 0.500 0.000 0.000  -0.04
Mn 0.000 0.500 0.000  3.78
Cd 0.000 0.000 0.000  0.01

***

It is *A* that is the least stable of them.

***

*A*
## MnTlCdB (GGA-PBE)

Data for a relaxed structure of MnTlCdB.

Results
total magnetization = 2.26 μB per cell
symmetry = Pm, No. 6

a = 4.577 Å, b = 3.118 Å, c = 5.236 Å
α = 90.00°, β = 107.07°, γ = 90.00°
Site moments in Bohr magnetons follow the coordinates.
Atoms (fractional coordinates):
Tl 0.710 0.000 0.699  -0.05
Mn 0.296 0.500 0.922  2.54
B 0.495 0.000 0.136  -0.18
Cd 0.059 0.000 0.311  -0.02

***

*B*
## MnTlCdB (GGA-PBE)

Data for a relaxed structure of MnTlCdB.

Results
total magnetization = 3.18 μB per cell
symmetry = Cm, No. 8

a = 2.880 Å, b = 2.981 Å, c = 16.565 Å
α = 90.00°, β = 90.11°, γ = 90.00°
Site moments in Bohr magnetons follow the coordinates.
Atoms (fractional coordinates):
Tl 0.505 0.000 0.927  -0.01
Tl 0.505 0.500 0.427  -0.01
Mn 0.994 0.000 0.761  1.83
Mn 0.994 0.500 0.261  1.83
B 0.494 0.000 0.260  -0.17
B 0.494 0.500 0.760  -0.17
Cd 0.493 0.000 0.609  -0.01
Cd 0.493 0.500 0.109  -0.01

***

It is *A* that is the least stable of them.

***

*A*
## MnTlCdB (GGA-PBE)

Data for a relaxed structure of MnTlCdB.

Results
total magnetization = 1.88 μB per cell
symmetry = Pm, No. 6

a = 2.928 Å, b = 2.928 Å, c = 8.248 Å
α = 90.00°, β = 89.95°, γ = 90.00°
Site moments in Bohr magnetons follow the coordinates.
Atoms (fractional coordinates):
Tl 0.617 0.000 0.798  0.01
Mn 0.623 0.000 0.167  2.08
B 0.123 0.500 0.146  -0.19
Cd 0.124 0.500 0.450  -0.01

***

*B*
## MnTlCdB (GGA-PBE)

Data for a relaxed structure of MnTlCdB.

Results
total magnetization = 1.96 μB per cell
symmetry = P3m1, No. 156

a = 3.352 Å, b = 3.352 Å, c = 7.309 Å
α = 90.00°, β = 90.00°, γ = 120.00°
Site moments in Bohr magnetons follow the coordinates.
Atoms (fractional coordinates):
Tl 0.333 0.667 0.186  -0.02
Mn 0.000 0.000 0.877  2.23
B 0.667 0.333 0.798  -0.19
Cd 0.333 0.667 0.577  -0.03

***

*C*
## MnTlCdB (GGA-PBE)

Data for a relaxed structure of MnTlCdB.

Results
total magnetization = 3.03 μB per cell
symmetry = Amm2, No. 38

a = 4.700 Å, b = 3.157 Å, c = 10.526 Å
α = 90.00°, β = 90.00°, γ = 90.00°
Site moments in Bohr magnetons follow the coordinates.
Atoms (fractional coordinates):
Tl 0.000 0.000 0.386  -0.04
Tl 0.000 0.500 0.886  -0.04
Mn 0.500 0.000 0.911  1.88
Mn 0.500 0.500 0.411  1.88
B 0.500 0.000 0.518  -0.14
B 0.500 0.500 0.018  -0.14
Cd 0.500 0.000 0.182  -0.05
Cd 0.500 0.500 0.682  -0.05

***

*D*
## MnTlCdB (GGA-PBE)

Data for a relaxed structure of MnTlCdB.

Results
total magnetization = 5.72 μB per cell
symmetry = R3m, No. 160

a = 3.350 Å, b = 3.350 Å, c = 21.980 Å
α = 90.00°, β = 90.00°, γ = 120.00°
Site moments in Bohr magnetons follow the coordinates.
Atoms (fractional coordinates):
Tl 0.000 0.000 0.833  -0.02
Tl 0.333 0.667 0.500  -0.02
Tl 0.667 0.333 0.166  -0.02
Mn 0.000 0.000 0.396  2.16
Mn 0.333 0.667 0.062  2.16
Mn 0.667 0.333 0.729  2.16
B 0.000 0.000 0.703  -0.17
B 0.333 0.667 0.369  -0.17
B 0.667 0.333 0.036  -0.17
Cd 0.000 0.000 0.963  -0.03
Cd 0.333 0.667 0.630  -0.03
Cd 0.667 0.333 0.297  -0.03

***

It is *C* that is the least stable of them.

***

*A*
## CdBMo2 (GGA-PBE)

Data for a relaxed structure of CdBMo2.

Results
total magnetization = 0.00 μB per cell
symmetry = I-42d, No. 122

a = 4.406 Å, b = 4.406 Å, c = 8.212 Å
α = 74.44°, β = 74.44°, γ = 90.00°
Atoms (fractional coordinates):
Mo 0.501 0.125 0.250
Mo 0.249 0.625 0.250
Mo 0.375 0.499 0.750
Mo 0.875 0.751 0.750
B 0.500 0.500 0.000
B 0.250 0.750 0.500
Cd 0.000 0.000 0.000
Cd 0.750 0.250 0.500

***

*B*
## CdBMo2 (GGA-PBE)

Data for a relaxed structure of CdBMo2.

Results
total magnetization = 0.00 μB per cell
symmetry = Fm-3m, No. 225

a = 4.339 Å, b = 4.339 Å, c = 4.339 Å
α = 60.00°, β = 60.00°, γ = 60.00°
Atoms (fractional coordinates):
Mo 0.250 0.250 0.250
Mo 0.750 0.750 0.750
B 0.000 0.000 0.000
Cd 0.500 0.500 0.500

***

It is *A* that is the least stable of them.

***

*A*
## Cd2BN (GGA-PBE)

Data for a relaxed structure of Cd2BN.

Results
total magnetization = 0.00 μB per cell
symmetry = Fm-3m, No. 225

a = 4.314 Å, b = 4.314 Å, c = 4.314 Å
α = 60.00°, β = 60.00°, γ = 60.00°
Atoms (fractional coordinates):
B 0.000 0.000 0.000
N 0.500 0.500 0.500
Cd 0.250 0.250 0.250
Cd 0.750 0.750 0.750

***

*B*
## Cd2BN (GGA-PBE)

Data for a relaxed structure of Cd2BN.

Results
total magnetization = 0.00 μB per cell
symmetry = I-42d, No. 122

a = 5.765 Å, b = 5.765 Å, c = 5.798 Å
α = 60.19°, β = 60.19°, γ = 90.00°
Atoms (fractional coordinates):
B 0.500 0.500 0.000
B 0.250 0.750 0.500
N 0.000 0.000 0.000
N 0.750 0.250 0.500
Cd 0.649 0.125 0.250
Cd 0.101 0.625 0.250
Cd 0.375 0.351 0.750
Cd 0.875 0.899 0.750

***

It is *A* that is the least stable of them.

***

*A*
## CdBN2 (GGA-PBE)

Data for a relaxed structure of CdBN2.

Results
total magnetization = 0.57 μB per cell
symmetry = Fm-3m, No. 225

a = 3.874 Å, b = 3.874 Å, c = 3.874 Å
α = 60.00°, β = 60.00°, γ = 60.00°
Site moments in Bohr magnetons follow the coordinates.
Atoms (fractional coordinates):
B 0.000 0.000 0.000  -0.04
N 0.250 0.250 0.250  0.23
N 0.750 0.750 0.750  0.23
Cd 0.500 0.500 0.500  0.01

***

*B*
## CdBN2 (GGA-PBE)

Data for a relaxed structure of CdBN2.

Results
total magnetization = 0.00 μB per cell
symmetry = R-3m, No. 166

a = 5.469 Å, b = 5.469 Å, c = 5.469 Å
α = 37.39°, β = 37.39°, γ = 37.39°
Atoms (fractional coordinates):
B 0.000 0.000 0.000
N 0.912 0.912 0.912
N 0.088 0.088 0.088
Cd 0.500 0.500 0.500

***

It is *A* that is the least stable of them.

***

*A*
## CdBS2N (GGA-PBE)

Data for a relaxed structure of CdBS2N.

Results
total magnetization = 0.00 μB per cell
symmetry = P4/mmm, No. 123

a = 5.393 Å, b = 5.393 Å, c = 2.691 Å
α = 90.00°, β = 90.00°, γ = 90.00°
Atoms (fractional coordinates):
S 0.000 0.500 0.000
S 0.500 0.000 0.000
N 0.000 0.000 0.500
B 0.000 0.000 0.000
Cd 0.500 0.500 0.500

***

*B*
## CdBS2N (GGA-PBE)

Data for a relaxed structure of CdBS2N.

Results
total magnetization = 2.58 μB per cell
symmetry = P4/mmm, No. 123

a = 5.075 Å, b = 5.075 Å, c = 4.250 Å
α = 90.00°, β = 90.00°, γ = 90.00°
Site moments in Bohr magnetons follow the coordinates.
Atoms (fractional coordinates):
S 0.000 0.500 0.000  0.26
S 0.500 0.000 0.000  0.26
N 0.000 0.000 0.500  1.24
B 0.500 0.500 0.500  -0.02
Cd 0.000 0.000 0.000  0.02

***

It is *B* that is the least stable of them.

***

*A*
## CdBSN2 (GGA-PBE)

Data for a relaxed structure of CdBSN2.

Results
total magnetization = 4.15 μB per cell
symmetry = P4/mmm, No. 123

a = 4.224 Å, b = 4.224 Å, c = 5.442 Å
α = 90.00°, β = 90.00°, γ = 90.00°
Site moments in Bohr magnetons follow the coordinates.
Atoms (fractional coordinates):
S 0.000 0.000 0.500  0.34
N 0.000 0.500 0.000  1.24
N 0.500 0.000 0.000  1.24
B 0.500 0.500 0.500  -0.01
Cd 0.000 0.000 0.000  0.09

***

*B*
## CdBSN2 (GGA-PBE)

Data for a relaxed structure of CdBSN2.

Results
total magnetization = 0.27 μB per cell
symmetry = P4/mmm, No. 123

a = 3.332 Å, b = 3.332 Å, c = 7.138 Å
α = 90.00°, β = 90.00°, γ = 90.00°
Site moments in Bohr magnetons follow the coordinates.
Atoms (fractional coordinates):
S 0.000 0.000 0.500  0.00
N 0.000 0.500 0.000  0.10
N 0.500 0.000 0.000  0.10
B 0.000 0.000 0.000  -0.01
Cd 0.500 0.500 0.500  0.00

***

It is *A* that is the least stable of them.